PBE-GGA LaTlCd2Br, optimized geometry; formation energy without anion corrections = 245.2 meV per atom; SG = P4/mmm, No. 123
1.0
-4.6081 2.8645 0.1774
-3.0815 -4.9348 -0.3608
-0.0271 -0.3790 5.4154
Cd Tl Br La
2 1 1 1
direct
0.5000 0.0000 0.0000 Cd
0.0000 0.0000 0.5000 Cd
0.0000 0.5000 0.0000 Tl
0.0000 0.0000 0.0000 Br
0.5000 0.5000 0.5000 La

=====

PBE-GGA LiCd2Br, optimized geometry; formation energy without anion corrections = -508.1 meV per atom; SG = P4mm, No. 99
1.0
3.5208 0.0000 0.0000
0.0000 3.5210 0.0000
0.0000 0.0000 9.2072
Cd Li Br
2 1 1
direct
0.5000 0.5000 0.2339 Cd
0.0000 0.0000 0.0049 Cd
0.0000 0.0000 0.6578 Li
0.5000 0.5000 0.6034 Br

=====

PBE-GGA Li2CdBr, optimized geometry; formation energy without anion corrections = -668.7 meV per atom; SG = Pmm2, No. 25
1.0
6.5705 0.0000 0.0000
0.0000 3.6756 0.0000
0.0000 0.0000 3.8421
Li Cd Br
2 1 1
direct
0.2713 0.0000 0.3819 Li
0.7287 0.0000 0.3819 Li
0.5000 0.5000 0.8815 Cd
0.0000 0.5000 0.3651 Br

=====

PBE-GGA LiCdBr, optimized geometry; formation energy without anion corrections = -766.6 meV per atom; SG = P3m1, No. 156
1.0
-0.9886 -0.2461 -3.8268
3.0698 -2.0802 1.3897
-3.8605 -4.8234 1.3074
Li Cd Br
1 1 1
direct
0.3333 0.6667 0.7481 Li
0.6667 0.3333 0.3516 Cd
0.0000 0.0000 0.9003 Br

=====

PBE-GGA LiCdBr3, optimized geometry; formation energy without anion corrections = -1097.0 meV per atom; SG = Cmc2_1, No. 36
1.0
-3.2070 -2.5360 -1.1327
0.4328 -3.2223 5.9890
-5.0944 7.9226 4.6308
Br Cd Li
6 2 2
direct
0.8930 0.3094 0.7860 Br
0.5734 0.2989 0.1468 Br
0.4266 0.7989 0.8532 Br
0.2303 0.2387 0.4607 Br
0.7697 0.7387 0.5393 Br
0.1070 0.8094 0.2140 Br
0.3373 0.5079 0.6747 Cd
0.6627 0.0079 0.3253 Cd
0.1203 0.4392 0.2407 Li
0.8797 0.9392 0.7593 Li

=====

PBE-GGA LiCd2Br, optimized geometry; formation energy without anion corrections = -268.1 meV per atom; SG = Cmmm, No. 65
1.0
3.4910 0.0340 0.0000
-1.2904 3.2440 0.0000
0.0000 0.0000 8.7126
Br Cd Li
1 2 1
direct
0.5000 0.5000 0.7500 Br
0.0000 0.0000 0.4927 Cd
0.0000 0.0000 0.0073 Cd
0.5000 0.5000 0.2500 Li

=====

PBE-GGA LiCdBr3, optimized geometry; formation energy without anion corrections = -808.7 meV per atom; SG = Pm-3m, No. 221
1.0
-3.2155 -4.4665 -0.0243
0.7775 -0.5302 -5.4226
4.3984 -3.1716 0.9407
Cd Li Br
1 1 3
direct
0.0000 0.0000 0.0000 Cd
0.5000 0.5000 0.5000 Li
0.0000 0.5000 0.0000 Br
0.5000 0.0000 0.0000 Br
0.0000 0.0000 0.5000 Br

=====

PBE-GGA Li2CdBr, optimized geometry; formation energy without anion corrections = -676.7 meV per atom; SG = P1, No. 1
1.0
-0.9094 1.3543 3.1357
1.6343 -2.7986 1.6838
4.8705 4.8092 -0.6590
Cd Li Br
1 2 1
direct
0.5564 0.5675 0.3209 Cd
0.0558 0.9213 0.0274 Li
0.0557 0.1723 0.5318 Li
0.5544 0.3312 0.8436 Br

=====

PBE-GGA Li2CdBr, optimized geometry; formation energy without anion corrections = -170.8 meV per atom; SG = F-43m, No. 216
1.0
5.2528 0.0000 0.0000
2.6264 4.5491 0.0000
2.6264 1.5164 4.2889
Br Li Cd
1 2 1
direct
0.5000 0.5000 0.5000 Br
0.0000 0.0000 0.0000 Li
0.2500 0.2500 0.2500 Li
0.7500 0.7500 0.7500 Cd

=====

PBE-GGA LiCd2Br, optimized geometry; formation energy without anion corrections = -316.3 meV per atom; SG = R-3m, No. 166
1.0
-8.8084 0.9857 0.0890
-8.4044 -2.1997 -1.7592
-8.3659 -2.1898 1.9454
Cd Br Li
2 1 1
direct
0.4973 0.4973 0.4973 Cd
0.0027 0.0027 0.0027 Cd
0.2500 0.2500 0.2500 Br
0.7500 0.7500 0.7500 Li

=====

PBE-GGA Li2CdBr, optimized geometry; formation energy without anion corrections = -679.8 meV per atom; SG = I4mm, No. 107
1.0
3.6290 0.0000 0.0000
0.0000 3.6290 0.0000
0.0000 0.0000 13.7451
Li Cd Br
4 2 2
direct
0.0000 0.0000 0.9602 Li
0.5000 0.5000 0.4602 Li
0.5000 0.5000 0.2122 Li
0.0000 0.0000 0.7122 Li
0.0000 0.0000 0.3010 Cd
0.5000 0.5000 0.8010 Cd
0.5000 0.5000 0.0278 Br
0.0000 0.0000 0.5278 Br

=====

PBE-GGA LiCdBr, optimized geometry; formation energy without anion corrections = -547.1 meV per atom; SG = F-43m, No. 216
1.0
-3.9795 2.7682 -1.0250
-4.2261 -2.1651 -1.4153
-3.9030 -0.0463 3.0521
Li Br Cd
1 1 1
direct
0.7500 0.7500 0.7500 Li
0.0000 0.0000 0.0000 Br
0.5000 0.5000 0.5000 Cd

=====

PBE-GGA LiCd2Br5, optimized geometry; formation energy without anion corrections = -957.6 meV per atom; SG = Cmcm, No. 63
1.0
5.5809 0.0000 0.0000
-2.7904 6.7502 0.0000
0.0000 0.0000 13.3853
Br Li Cd
10 2 4
direct
0.6792 0.3584 0.5650 Br
0.2358 0.4716 0.7500 Br
0.3208 0.6416 0.0650 Br
0.6792 0.3584 0.9350 Br
0.7642 0.5284 0.2500 Br
0.9437 0.8875 0.6228 Br
0.9437 0.8875 0.8772 Br
0.0563 0.1125 0.1228 Br
0.3208 0.6416 0.4350 Br
0.0563 0.1125 0.3772 Br
0.2132 0.4264 0.2500 Li
0.7868 0.5736 0.7500 Li
0.1378 0.2757 0.9372 Cd
0.8622 0.7243 0.0628 Cd
0.8622 0.7243 0.4372 Cd
0.1378 0.2757 0.5628 Cd

=====

PBE-GGA LiCd2Br, optimized geometry; formation energy without anion corrections = -454.1 meV per atom; SG = Cm, No. 8
1.0
5.3016 -0.1144 0.1157
3.9983 3.4834 0.1157
2.6671 0.9662 6.4178
Br Cd Li
1 2 1
direct
0.8560 0.8560 0.6905 Br
0.9183 0.9183 0.1893 Cd
0.2178 0.2178 0.1321 Cd
0.5079 0.5079 0.4881 Li

=====

no.,total magnetic moment (μB/atom)
1,0.00
2,0.00
3,0.00
4,0.00
5,0.00
6,0.00
7,0.00
8,0.00
9,0.00
10,0.00
11,0.00
12,0.00
13,0.00
14,0.00